1.
The following is a DFT calculation (PBE) of a relaxed Ba3NaBr crystal.

## Properties
Magnetic moment in Bohr magnetons per cell: 1.7
Space group: Pm-3m (221)
Excess energy over the best structure of this formula in the dataset in meV per atom: 0

Cell: 6.4963 6.4963 6.4963 Å, 90.00 90.00 90.00°
Atoms (fractional coordinates):
Ba: 0.0000 0.0000 0.5000
Ba: 0.0000 0.5000 0.0000
Ba: 0.5000 0.0000 0.0000
Na: 0.5000 0.5000 0.5000
Br: 0.0000 0.0000 0.0000



2.
The following is a DFT calculation (PBE) of a relaxed BaNaBr3 crystal.

## Properties
Magnetic moment in Bohr magnetons per cell: 0.0
Space group: Pm-3m (221)
Excess energy over the best structure of this formula in the dataset in meV per atom: 168

Cell: 5.4639 5.4639 5.4639 Å, 90.00 90.00 90.00°
Atoms (fractional coordinates):
Ba: 0.0000 0.0000 0.0000
Na: 0.5000 0.5000 0.5000
Br: 0.0000 0.5000 0.5000
Br: 0.5000 0.0000 0.5000
Br: 0.5000 0.5000 0.0000